(1)
8
Lattice="-3.908 0.652 1.601 -2.981 -3.043 -0.335 0.918 -4.999 9.983" Properties=species:S:1:pos:R:3 comment="TbCuSeS, relaxed, DFT GGA-PBE" formation_energy_uncorrected_ev_per_atom=-1.22 crystal_system=trigonal total_magnetization_mub_per_cell=0.00 e_tot_ha_per_atom=-0.1948 space_group="No. 166" pbc="T T T"
Cu -5.007 -4.851 6.864
Cu -0.964 -2.539 4.385
S -1.998 -1.188 1.311
S -3.973 -6.202 9.938
Se -0.221 -3.509 6.594
Se -5.750 -3.880 4.655
Tb -4.013 -2.352 2.570
Tb -1.958 -5.037 8.679



(2)
4
Lattice="-4.662 0.055 -0.710 0.249 -4.280 -1.963 -0.760 -2.253 4.817" Properties=species:S:1:pos:R:3 comment="K2MoAs, relaxed, DFT GGA-PBE" crystal_system=tetragonal total_magnetization_mub_per_cell=3.37 e_tot_ha_per_atom=-0.1327 space_group="No. 123" pbc="T T T"
K -0.383 -1.134 2.425
K -0.757 -2.246 4.801
As -2.776 -3.803 2.276
Mo -2.396 -2.676 -0.132



(3)
16
Lattice="-6.213 0.932 1.911 -1.953 -6.487 -3.184 1.771 -4.418 7.914" Properties=species:S:1:pos:R:3 comment="AgPb3, relaxed, DFT GGA-PBE" crystal_system=orthorhombic total_magnetization_mub_per_cell=0.00 e_tot_ha_per_atom=-0.1261 space_group="No. 62" pbc="T T T"
Pb -3.474 -3.028 4.931
Pb 0.677 -3.247 6.119
Pb -2.121 -6.216 5.087
Pb -2.920 -6.944 1.711
Pb -0.746 -3.880 2.934
Pb -4.273 -3.755 1.554
Pb -2.738 -4.863 8.219
Pb -3.656 -5.108 -1.578
Pb -7.071 -6.725 0.523
Pb -4.912 -7.927 6.996
Pb -5.648 -6.091 3.708
Pb -1.482 -2.045 -0.354
Ag -5.289 -4.994 6.478
Ag -3.890 -8.594 4.156
Ag -2.504 -1.377 2.486
Ag -1.105 -4.977 0.163



(4)
4
Lattice="-0.679 -4.477 -2.157 2.224 -4.069 1.913 -2.744 -3.507 2.309" Properties=species:S:1:pos:R:3 comment="NdMgCuHg, relaxed, DFT GGA-PBE" crystal_system=cubic total_magnetization_mub_per_cell=0.00 e_tot_ha_per_atom=-0.1098 space_group="No. 216" pbc="T T T"
Nd 0.000 0.000 0.000
Mg -0.599 -6.026 1.033
Hg -0.899 -9.040 1.549
Cu -0.300 -3.013 0.516